PaMnFeNi: relaxed, PBE.

abc: 4.436 4.436 4.436
angles: 60.00 60.00 60.00
Element x y z (fractional)
Pa1 0.000 0.000 0.000
Mn1 0.500 0.500 0.500
Fe1 0.750 0.750 0.750
Ni1 0.250 0.250 0.250

Summary:
**Space group**: F-43m

=====

MnFeNiRh: relaxed, PBE.

abc: 4.179 4.179 4.179
angles: 60.00 60.00 60.00
Element x y z (fractional)
Mn1 0.000 0.000 0.000
Fe1 0.250 0.250 0.250
Ni1 0.750 0.750 0.750
Rh1 0.500 0.500 0.500

Summary:
**Space group**: F-43m

=====

no.,DFT formation energy (meV per atom)
1,17
2,87